No. 1
A relaxed structure of La15Pr4Tm, computed with PBE-GGA.

Lattice parameters (Å, degrees): 5.2432 5.2432 26.3268 90.00 90.00 90.00
With the nearest neighbours (Å) after each atom.
Element x y z (fractional)
La (0.5000, 0.0000, 0.5000)  8 La 3.71-3.72, 4 Pr 3.73
La (0.0000, 0.5000, 0.9018)  8 La 3.68-3.73, 2 Tm 3.68, 2 Pr 3.72
Pr (0.0000, 0.0000, 0.6006)  12 La 3.71-3.73
Pr (0.0000, 0.0000, 0.3994)  12 La 3.71-3.73
La (0.0000, 0.5000, 0.5000)  8 La 3.71-3.72, 4 Pr 3.73
La (0.0000, 0.5000, 0.7013)  8 La 3.71-3.73, 4 Pr 3.72-3.73
Pr (0.0000, 0.0000, 0.8015)  12 La 3.71-3.72
La (0.5000, 0.5000, 0.1987)  4 Pr 3.71, 8 La 3.72-3.73
La (0.5000, 0.5000, 0.0000)  8 La 3.68, 4 Tm 3.71
La (0.5000, 0.0000, 0.9018)  8 La 3.68-3.73, 2 Tm 3.68, 2 Pr 3.72
La (0.5000, 0.5000, 0.6004)  4 Pr 3.71, 8 La 3.72-3.73
La (0.5000, 0.0000, 0.2987)  8 La 3.71-3.73, 4 Pr 3.72-3.73
La (0.0000, 0.5000, 0.0982)  8 La 3.68-3.73, 2 Tm 3.68, 2 Pr 3.72
Tm (0.0000, 0.0000, 0.0000)  12 La 3.68-3.71
Pr (0.0000, 0.0000, 0.1985)  12 La 3.71-3.72
La (0.5000, 0.5000, 0.3996)  4 Pr 3.71, 8 La 3.72-3.73
La (0.5000, 0.0000, 0.7013)  8 La 3.71-3.73, 4 Pr 3.72-3.73
La (0.0000, 0.5000, 0.2987)  8 La 3.71-3.73, 4 Pr 3.72-3.73
La (0.5000, 0.0000, 0.0982)  8 La 3.68-3.73, 2 Tm 3.68, 2 Pr 3.72
La (0.5000, 0.5000, 0.8013)  4 Pr 3.71, 8 La 3.72-3.73

Computed properties:
**Spin magnetization**: 0.0 μB per formula unit
**SG**: P4/mmm (123)

=====

No. 2
A relaxed structure of LiCrPd14, computed with PBE-GGA.

Lattice parameters (Å, degrees): 5.5427 5.5427 7.8543 90.00 90.00 90.00
With the nearest neighbours (Å) after each atom.
Element x y z (fractional)
Pd (0.3750, 0.8750, 0.0000)  12 Pd 2.77-2.81
Pd (0.8750, 0.3750, 0.0000)  12 Pd 2.77-2.81
Pd (0.6239, 0.1261, 0.7436)  1 Cr 2.73, 10 Pd 2.74-2.82, 1 Li 2.74
Pd (0.1261, 0.6239, 0.7436)  1 Cr 2.73, 10 Pd 2.74-2.82, 1 Li 2.74
Pd (0.1261, 0.6239, 0.2564)  1 Cr 2.73, 10 Pd 2.74-2.82, 1 Li 2.74
Li (0.8750, 0.8750, 0.5000)  12 Pd 2.74-2.77
Pd (0.6238, 0.6238, 0.7436)  1 Cr 2.73, 10 Pd 2.74-2.82, 1 Li 2.74
Pd (0.3750, 0.3750, 0.0000)  12 Pd 2.77-2.80
Pd (0.1262, 0.1262, 0.2564)  1 Cr 2.73, 10 Pd 2.74-2.82, 1 Li 2.75
Pd (0.3750, 0.8750, 0.5000)  8 Pd 2.74, 2 Li 2.77, 2 Cr 2.77
Pd (0.6239, 0.1261, 0.2564)  1 Cr 2.73, 10 Pd 2.74-2.82, 1 Li 2.74
Pd (0.8750, 0.8750, 0.0000)  12 Pd 2.77-2.82
Cr (0.3750, 0.3750, 0.5000)  12 Pd 2.73-2.77
Pd (0.1262, 0.1262, 0.7436)  1 Cr 2.73, 10 Pd 2.74-2.82, 1 Li 2.75
Pd (0.8750, 0.3750, 0.5000)  8 Pd 2.74, 2 Li 2.77, 2 Cr 2.77
Pd (0.6238, 0.6238, 0.2564)  1 Cr 2.73, 10 Pd 2.74-2.82, 1 Li 2.74

Computed properties:
**Spin magnetization**: 1.9 μB per formula unit
**SG**: P4/mmm (123)

=====

No. 3
A relaxed structure of Sr5Ga2Ag2, computed with PBE-GGA.

Lattice parameters (Å, degrees): 8.4355 8.5665 9.4675 90.00 63.54 90.00
With the nearest neighbours (Å) after each atom.
Element x y z (fractional)
Ag (0.7037, 0.5000, 0.5927)  7 Sr 3.31-3.45
Ag (0.2037, 0.0000, 0.5927)  7 Sr 3.31-3.45
Ga (0.1077, 0.3909, 0.0000)  1 Ga 2.61
Sr (0.8115, 0.8287, 0.7250)  3 Ag 3.31-3.40, 3 Ga 3.37-3.52
Sr (0.6885, 0.3287, 0.2750)  3 Ag 3.31-3.40, 3 Ga 3.37-3.52
Sr (0.9635, 0.3287, 0.7250)  3 Ag 3.31-3.40, 3 Ga 3.37-3.52
Sr (0.1885, 0.1713, 0.2750)  3 Ag 3.31-3.40, 3 Ga 3.37-3.52
Ga (0.3923, 0.8909, 0.0000)  1 Ga 2.61
Sr (0.0365, 0.6713, 0.2750)  3 Ag 3.31-3.40, 3 Ga 3.37-3.52
Ga (0.8923, 0.6091, 0.0000)  1 Ga 2.61
Ga (0.6077, 0.1091, 0.0000)  1 Ga 2.61
Sr (0.3115, 0.6713, 0.7250)  3 Ag 3.31-3.40, 3 Ga 3.37-3.52
Ag (0.7963, 0.0000, 0.4073)  7 Sr 3.31-3.45
Sr (0.5000, 0.5000, 0.0000)  4 Ga 3.44-3.47, 2 Ag 3.45
Sr (0.4635, 0.1713, 0.7250)  3 Ag 3.31-3.40, 3 Ga 3.37-3.52
Sr (0.0000, 0.0000, 0.0000)  4 Ga 3.44-3.47, 2 Ag 3.45
Ag (0.2963, 0.5000, 0.4073)  7 Sr 3.31-3.45
Sr (0.5365, 0.8287, 0.2750)  3 Ag 3.31-3.40, 3 Ga 3.37-3.52

Computed properties:
**Spin magnetization**: 0.0 μB per formula unit
**SG**: Cmce (64)

=====

Here are the calculated energy of formation from the pure elements numbers, same order: 0.009, -0.083, -0.287 (eV per atom).